Ta2WBr (PBE, relaxed); energy above the lowest structure with this stoichiometry = 159 meV per atom; formation energy without anion corrections = 0.33 eV/atom
1.0
3.262 0.000 0.000
0.000 5.088 0.000
0.000 0.000 9.001
Ta W Br
4 2 2
direct
0.000 0.000 0.235
0.000 0.000 0.765
0.500 0.500 0.235
0.500 0.500 0.765
0.000 0.500 0.000
0.500 0.000 0.000
0.000 0.500 0.500
0.500 0.000 0.500


LaHS3 (PBE, relaxed); energy above the lowest structure with this stoichiometry = 666 meV per atom
1.0
5.675 0.000 0.000
0.000 5.675 0.000
0.000 0.000 5.675
La H S
1 1 3
direct
0.000 0.000 0.000
0.500 0.500 0.500
0.000 0.000 0.500
0.000 0.500 0.000
0.500 0.000 0.000


CeScTe2N (PBE, relaxed); formation energy without anion corrections = -1.33 eV/atom
1.0
4.092 0.000 0.000
0.000 4.092 0.000
0.000 0.000 15.064
Ce Sc Te N
2 2 4 2
direct
0.250 0.250 0.072
0.750 0.750 0.928
0.250 0.250 0.620
0.750 0.750 0.380
0.250 0.250 0.412
0.250 0.250 0.801
0.750 0.750 0.199
0.750 0.750 0.588
0.250 0.750 0.000
0.750 0.250 0.000


GaPBr (PBE, relaxed); energy above the lowest structure with this stoichiometry = 124 meV per atom; formation energy without anion corrections = -0.37 eV/atom
1.0
19.095 0.000 0.000
0.000 5.065 0.000
-0.482 0.000 3.491
Ga P Br
4 4 4
direct
0.062 0.000 0.296
0.438 0.500 0.704
0.562 0.500 0.296
0.938 0.000 0.704
0.038 0.500 0.279
0.462 0.000 0.721
0.538 0.000 0.279
0.962 0.500 0.721
0.159 0.000 0.868
0.341 0.500 0.132
0.659 0.500 0.868
0.841 0.000 0.132


CePuCo10 (PBE, relaxed); formation energy = -92 meV per atom
1.0
3.976 0.000 0.000
0.000 4.860 0.000
0.000 0.000 8.496
Ce Pu Co
1 1 10
direct
0.000 0.000 0.000
0.000 0.500 0.500
0.000 0.000 0.323
0.000 0.000 0.677
0.000 0.500 0.166
0.000 0.500 0.834
0.500 0.000 0.500
0.500 0.257 0.257
0.500 0.257 0.743
0.500 0.500 0.000
0.500 0.743 0.257
0.500 0.743 0.743


Zr2BeHg (PBE, relaxed); energy above the lowest structure with this stoichiometry = 97 meV per atom; formation energy = -8 meV per atom
1.0
10.841 0.000 0.000
0.000 3.175 0.000
-2.262 0.000 4.406
Zr Be Hg
4 2 2
direct
0.000 0.000 0.000
0.223 0.000 0.724
0.500 0.500 0.000
0.723 0.500 0.724
0.486 0.000 0.485
0.986 0.500 0.485
0.289 0.500 0.289
0.789 0.000 0.289


Values for calculated volume, Å³ per cell, ordered as above
149; 183; 252; 338; 164; 152
Values for mass density, g/cm³, ordered as above
13.908; 2.145; 5.982; 3.552; 9.845; 8.586